(1)
Density functional theory data (PBE) for NpAsRh2 after structural relaxation.

Lattice parameters (Å, degrees): 5.0954 4.7987 5.8664 90.00 100.02 90.00
Each line ends with the local moment (μB).
Fractional positions:
Rh 0.2894 0.2500 0.4131  -0.31
Rh 0.6651 0.7500 0.0838  -0.22
Rh 0.3349 0.2500 0.9162  -0.22
Rh 0.7106 0.7500 0.5869  -0.31
Np 0.8189 0.2500 0.7594  3.10
Np 0.1811 0.7500 0.2406  3.10
As 0.2482 0.7500 0.7372  -0.05
As 0.7518 0.2500 0.2628  -0.05

Results
- Formation enthalpy at 0 K: -0.44 eV/atom
- Crystal system: monoclinic
- DOS at the Fermi energy: 7.167 states/eV/f.u.



(2)
Density functional theory data (PBE) for Np2As4Rh3 after structural relaxation.

Lattice parameters (Å, degrees): 5.7785 7.5561 7.8495 90.00 111.60 90.00
Each line ends with the local moment (μB).
Fractional positions:
Np 0.1095 0.5796 0.2189  3.69
Np 0.8905 0.4204 0.7811  3.69
Np 0.6095 0.9204 0.2189  3.69
Np 0.3905 0.0796 0.7811  3.69
As 0.3182 0.4633 0.6364  -0.02
As 0.6818 0.5367 0.3636  -0.02
As 0.1998 0.7500 0.8997  -0.05
As 0.3002 0.2500 0.1003  -0.05
As 0.1818 0.9633 0.3636  -0.02
As 0.6998 0.7500 0.8997  -0.05
As 0.8182 0.0367 0.6364  -0.02
As 0.8002 0.2500 0.1003  -0.05
Rh 0.5288 0.7500 0.5577  0.00
Rh 0.4712 0.2500 0.4423  0.00
Rh 0.0288 0.7500 0.5577  0.00
Rh 0.5000 0.5000 0.0000  0.05
Rh 0.9712 0.2500 0.4423  0.00
Rh 0.0000 0.0000 0.0000  0.05

Results
- Formation enthalpy at 0 K: -0.58 eV/atom
- Crystal system: orthorhombic
- DOS at the Fermi energy: 18.515 states/eV/f.u.



(3)
Density functional theory data (PBE) for Np3As4Rh4 after structural relaxation.

Lattice parameters (Å, degrees): 4.1244 7.1592 7.9348 116.82 105.06 90.00
Each line ends with the local moment (μB).
Fractional positions:
Rh 0.3189 0.1168 0.6377  -0.13
Rh 0.6811 0.8832 0.3623  -0.13
Rh 0.3189 0.5210 0.6377  -0.13
Rh 0.6811 0.4790 0.3623  -0.13
As 0.5000 0.7804 0.0000  -0.08
As 0.7840 0.2840 0.5681  -0.01
As 0.2160 0.7160 0.4319  -0.01
As 0.5000 0.2196 0.0000  -0.08
Np 0.8846 0.8846 0.7692  3.57
Np 0.0000 0.5000 0.0000  3.63
Np 0.1154 0.1154 0.2308  3.57

Results
- Formation enthalpy at 0 K: -0.64 eV/atom
- Crystal system: orthorhombic
- DOS at the Fermi energy: 27.606 states/eV/f.u.



(4)
Density functional theory data (PBE) for Np3As4Rh2 after structural relaxation.

Lattice parameters (Å, degrees): 4.1787 6.3009 8.5632 119.41 90.00 109.37
Each line ends with the local moment (μB).
Fractional positions:
As 0.0767 0.1534 0.3827  -0.03
As 0.6866 0.3732 0.0849  -0.09
As 0.9233 0.8466 0.6173  -0.03
As 0.3134 0.6268 0.9151  -0.09
Np 0.6302 0.2605 0.7000  3.77
Np 0.0000 0.0000 0.0000  3.57
Np 0.3698 0.7395 0.3000  3.77
Rh 0.6824 0.3648 0.3720  0.00
Rh 0.3176 0.6352 0.6280  0.00

Results
- Formation enthalpy at 0 K: -0.59 eV/atom
- Crystal system: monoclinic
- DOS at the Fermi energy: 24.450 states/eV/f.u.



(5)
Density functional theory data (PBE) for NpAs2Rh after structural relaxation.

Lattice parameters (Å, degrees): 3.9408 3.9408 6.4454 72.20 72.20 60.00
Each line ends with the local moment (μB).
Fractional positions:
Rh 0.4908 0.4908 0.5275  0.04
Np 0.6710 0.6710 0.9871  3.75
As 0.0978 0.0978 0.7067  0.00
As 0.2404 0.2404 0.2787  -0.05

Results
- Formation enthalpy at 0 K: -0.37 eV/atom
- Crystal system: trigonal
- DOS at the Fermi energy: 7.134 states/eV/f.u.



(6)
Density functional theory data (PBE) for NpAs2RuRh2 after structural relaxation.

Lattice parameters (Å, degrees): 3.8019 6.5947 8.0919 90.00 90.00 90.00
Each line ends with the local moment (μB).
Fractional positions:
Rh 0.0000 0.3827 0.1619  0.05
Rh 0.5000 0.0088 0.1131  0.04
Rh 0.5000 0.5088 0.8869  0.04
Rh 0.0000 0.8827 0.8381  0.05
As 0.0000 0.2504 0.8846  0.00
As 0.0000 0.7504 0.1154  0.00
As 0.5000 0.2729 0.3301  -0.02
As 0.5000 0.7729 0.6699  -0.02
Ru 0.5000 0.1630 0.6510  -0.59
Ru 0.5000 0.6630 0.3490  -0.59
Np 0.0000 0.9679 0.4397  3.24
Np 0.0000 0.4679 0.5603  3.24

Results
- Formation enthalpy at 0 K: -0.36 eV/atom
- Crystal system: orthorhombic
- DOS at the Fermi energy: 7.995 states/eV/f.u.



(7)
Density functional theory data (PBE) for NpSb2As2Rh7 after structural relaxation.

Lattice parameters (Å, degrees): 3.9184 3.9184 14.7094 84.97 84.97 90.31
Each line ends with the local moment (μB).
Fractional positions:
Rh 0.4524 0.9526 0.1402  -0.18
Rh 0.3785 0.3785 0.4126  -0.02
Rh 0.0474 0.5476 0.8598  -0.18
Rh 0.5000 0.5000 0.0000  -0.21
Rh 0.5476 0.0474 0.8598  -0.18
Rh 0.6215 0.6215 0.5874  -0.02
Rh 0.9526 0.4524 0.1402  -0.18
Sb 0.8551 0.8551 0.4149  0.00
Sb 0.1449 0.1449 0.5851  0.00
As 0.4185 0.4185 0.2439  0.00
As 0.5815 0.5815 0.7561  0.00
Np 0.0000 0.0000 0.0000  1.97

Results
- Crystal system: monoclinic
- DOS at the Fermi energy: 10.091 states/eV/f.u.
- Raw formation energy: -0.34 eV/atom



(8)
Density functional theory data (PBE) for NpScAs2Rh5 after structural relaxation.

Lattice parameters (Å, degrees): 3.8839 3.8839 11.6322 90.00 90.00 90.00
Each line ends with the local moment (μB).
Fractional positions:
Rh 0.0000 0.5000 0.8415  -0.20
Rh 0.0000 0.5000 0.1585  -0.20
Rh 0.5000 0.0000 0.1585  -0.20
Rh 0.5000 0.0000 0.8415  -0.20
Rh 0.0000 0.0000 0.5000  0.01
As 0.0000 0.0000 0.2959  0.02
As 0.0000 0.0000 0.7041  0.02
Np 0.0000 0.0000 0.0000  2.36
Sc 0.5000 0.5000 0.5000  0.00

Results
- Formation enthalpy at 0 K: -0.26 eV/atom
- Crystal system: tetragonal
- DOS at the Fermi energy: 9.601 states/eV/f.u.



(9)
Density functional theory data (PBE) for SmNpAs2Rh5 after structural relaxation.

Lattice parameters (Å, degrees): 4.0295 4.0295 12.6301 90.00 90.00 90.00
Each line ends with the local moment (μB).
Fractional positions:
Rh 0.0000 0.5000 0.6698  0.03
Rh 0.0000 0.0000 0.5000  0.06
Rh 0.5000 0.0000 0.6698  0.03
Rh 0.0000 0.5000 0.3302  0.03
Rh 0.5000 0.0000 0.3302  0.03
Sm 0.5000 0.5000 0.5000  0.01
Np 0.0000 0.0000 0.0000  -4.48
As 0.0000 0.0000 0.2252  0.02
As 0.0000 0.0000 0.7748  0.02

Results
- Formation enthalpy at 0 K: -0.08 eV/atom
- Crystal system: tetragonal
- DOS at the Fermi energy: 16.147 states/eV/f.u.



(10)
Density functional theory data (PBE) for NpSnAs2Rh4 after structural relaxation.

Lattice parameters (Å, degrees): 4.1918 4.1918 8.3395 90.00 90.00 90.00
Each line ends with the local moment (μB).
Fractional positions:
As 0.5000 0.5000 0.6552  0.00
As 0.5000 0.5000 0.3448  0.00
Rh 0.5000 0.0000 0.1993  0.04
Rh 0.5000 0.0000 0.8007  0.04
Rh 0.0000 0.5000 0.1993  0.04
Rh 0.0000 0.5000 0.8007  0.04
Sn 0.0000 0.0000 0.0000  0.00
Np 0.0000 0.0000 0.5000  3.94

Results
- Formation enthalpy at 0 K: -0.45 eV/atom
- Crystal system: tetragonal
- DOS at the Fermi energy: 13.988 states/eV/f.u.



(11)
Density functional theory data (PBE) for Sr2NpAs3Rh4 after structural relaxation.

Lattice parameters (Å, degrees): 4.2475 4.2475 11.1640 90.00 90.00 90.00
Each line ends with the local moment (μB).
Fractional positions:
Rh 0.5000 0.0000 0.6497  -0.14
Rh 0.0000 0.5000 0.3503  -0.14
Rh 0.5000 0.5000 0.0000  0.03
Rh 0.0000 0.0000 0.0000  0.02
Sr 0.0000 0.5000 0.7681  0.02
Sr 0.5000 0.0000 0.2319  0.02
As 0.0000 0.5000 0.1260  0.00
As 0.5000 0.0000 0.8740  0.00
As 0.0000 0.0000 0.5000  -0.06
Np 0.5000 0.5000 0.5000  3.57

Results
- Formation enthalpy at 0 K: -0.70 eV/atom
- Crystal system: tetragonal
- DOS at the Fermi energy: 8.530 states/eV/f.u.



(12)
Density functional theory data (PBE) for Np2TiAs3Rh4 after structural relaxation.

Lattice parameters (Å, degrees): 4.0296 4.0296 11.0125 90.00 90.00 90.00
Each line ends with the local moment (μB).
Fractional positions:
Np 0.0000 0.5000 0.7606  3.75
Np 0.5000 0.0000 0.2394  3.75
Rh 0.0000 0.5000 0.3591  -0.10
Rh 0.0000 0.0000 0.0000  0.03
Rh 0.5000 0.0000 0.6409  -0.10
Rh 0.5000 0.5000 0.0000  0.01
As 0.5000 0.0000 0.8642  -0.02
As 0.0000 0.5000 0.1358  -0.02
As 0.0000 0.0000 0.5000  -0.03
Ti 0.5000 0.5000 0.5000  0.13

Results
- Formation enthalpy at 0 K: -0.62 eV/atom
- Crystal system: tetragonal
- DOS at the Fermi energy: 18.224 states/eV/f.u.



(13)
Density functional theory data (PBE) for Np2ZnAs3Rh4 after structural relaxation.

Lattice parameters (Å, degrees): 4.0211 4.0211 10.9972 90.00 90.00 90.00
Each line ends with the local moment (μB).
Fractional positions:
As 0.0000 0.0000 0.5000  -0.04
As 0.0000 0.5000 0.1325  -0.02
As 0.5000 0.0000 0.8675  -0.02
Zn 0.5000 0.5000 0.5000  0.01
Rh 0.5000 0.5000 0.0000  0.02
Rh 0.5000 0.0000 0.6490  -0.15
Rh 0.0000 0.0000 0.0000  0.03
Rh 0.0000 0.5000 0.3510  -0.15
Np 0.5000 0.0000 0.2517  3.72
Np 0.0000 0.5000 0.7483  3.72

Results
- Formation enthalpy at 0 K: -0.54 eV/atom
- Crystal system: tetragonal
- DOS at the Fermi energy: 18.609 states/eV/f.u.



(14)
Density functional theory data (PBE) for NpAsRu after structural relaxation.

Lattice parameters (Å, degrees): 3.6086 3.6086 7.4664 90.00 90.00 90.00
Fractional positions:
As 0.5000 0.0000 0.8110
As 0.0000 0.5000 0.1890
Ru 0.0000 0.5000 0.8640
Ru 0.5000 0.0000 0.1360
Np 0.5000 0.5000 0.5000
Np 0.0000 0.0000 0.5000

Results
- Formation enthalpy at 0 K: -0.16 eV/atom
- Crystal system: tetragonal
- DOS at the Fermi energy: 2.040 states/eV/f.u.



(15)
Density functional theory data (PBE) for NpAsRu2 after structural relaxation.

Lattice parameters (Å, degrees): 3.8191 4.1812 4.1812 90.00 90.00 90.00
Each line ends with the local moment (μB).
Fractional positions:
Ru 0.0000 0.0000 0.5000  -0.32
Ru 0.0000 0.5000 0.0000  -0.32
Np 0.5000 0.0000 0.0000  3.00
As 0.5000 0.5000 0.5000  -0.03

Results
- Formation enthalpy at 0 K: -0.12 eV/atom
- Crystal system: tetragonal
- DOS at the Fermi energy: 6.275 states/eV/f.u.



(16)
Density functional theory data (PBE) for NpAs2Ru after structural relaxation.

Lattice parameters (Å, degrees): 4.0992 4.0992 9.6044 102.32 102.32 90.00
Each line ends with the local moment (μB).
Fractional positions:
Np 0.1135 0.1135 0.2269  3.65
Np 0.8865 0.8865 0.7731  3.65
Ru 0.7500 0.2500 0.5000  -0.07
Ru 0.2500 0.7500 0.5000  -0.07
As 0.5000 0.0000 0.0000  -0.07
As 0.6739 0.6739 0.3479  -0.01
As 0.0000 0.5000 0.0000  -0.07
As 0.3261 0.3261 0.6521  -0.01

Results
- Formation enthalpy at 0 K: -0.50 eV/atom
- Crystal system: tetragonal
- DOS at the Fermi energy: 10.589 states/eV/f.u.



(17)
Density functional theory data (PBE) for Np2AsRu after structural relaxation.

Lattice parameters (Å, degrees): 3.7406 3.7406 5.5379 90.00 90.00 90.00
Each line ends with the local moment (μB).
Fractional positions:
Np 0.0000 0.0000 0.2455  3.74
Np 0.0000 0.0000 0.7545  3.74
Ru 0.5000 0.5000 0.5000  -0.60
As 0.5000 0.5000 0.0000  -0.09

Results
- Formation enthalpy at 0 K: -0.30 eV/atom
- Crystal system: tetragonal
- DOS at the Fermi energy: 8.746 states/eV/f.u.



(18)
Density functional theory data (PBE) for NpAsRu2 after structural relaxation.

Lattice parameters (Å, degrees): 4.6516 4.3536 7.5327 90.00 114.54 90.00
Each line ends with the local moment (μB).
Fractional positions:
Np 0.9516 0.2500 0.7662  2.98
Np 0.0484 0.7500 0.2338  2.98
Ru 0.3967 0.7500 0.0697  -0.34
Ru 0.2398 0.2500 0.5037  -0.32
Ru 0.6033 0.2500 0.9303  -0.34
Ru 0.7602 0.7500 0.4963  -0.32
As 0.4192 0.7500 0.7262  -0.01
As 0.5808 0.2500 0.2738  -0.01

Results
- Formation enthalpy at 0 K: -0.16 eV/atom
- Crystal system: monoclinic
- DOS at the Fermi energy: 5.976 states/eV/f.u.



(19)
Density functional theory data (PBE) for Np2As3Ru5 after structural relaxation.

Lattice parameters (Å, degrees): 4.1136 6.6657 12.3392 90.00 99.60 90.00
Each line ends with the local moment (μB).
Fractional positions:
Ru 0.6046 0.9037 0.2091  -0.28
Ru 0.1314 0.2288 0.2628  -0.04
Ru 0.8686 0.7288 0.7372  -0.04
Ru 0.3955 0.4037 0.7909  -0.28
Ru 0.2944 0.5187 0.5888  -0.22
Ru 0.2902 0.9293 0.5804  -0.16
Ru 0.0594 0.6054 0.1187  -0.38
Ru 0.7098 0.4293 0.4196  -0.16
Ru 0.9406 0.1054 0.8813  -0.38
Ru 0.7056 0.0187 0.4112  -0.22
Np 0.1716 0.7362 0.3432  3.00
Np 0.8284 0.2362 0.6568  3.00
Np 0.4886 0.7551 0.9772  3.41
Np 0.5114 0.2551 0.0228  3.41
As 0.0500 0.9868 0.1001  -0.02
As 0.6105 0.4735 0.2211  0.00
As 0.9500 0.4868 0.8999  -0.02
As 0.7676 0.7273 0.5352  0.00
As 0.2324 0.2273 0.4648  0.00
As 0.3895 0.9735 0.7789  0.00

Results
- Formation enthalpy at 0 K: -0.28 eV/atom
- Crystal system: orthorhombic
- DOS at the Fermi energy: 14.596 states/eV/f.u.



(20)
Density functional theory data (PBE) for NpAsRu after structural relaxation.

Lattice parameters (Å, degrees): 3.6396 3.6396 5.1325 110.77 110.77 90.00
Each line ends with the local moment (μB).
Fractional positions:
Np 0.9259 0.9259 0.8518  3.06
As 0.6062 0.6062 0.2124  -0.06
Ru 0.3179 0.3179 0.6358  -0.56

Results
- Formation enthalpy at 0 K: -0.05 eV/atom
- Crystal system: tetragonal
- DOS at the Fermi energy: 6.419 states/eV/f.u.